Model one:
Here is a relaxed AlOsCl2 crystal from Alexandria. Energies are from GGA-PBE.

```
4
Lattice="0.000 3.194 3.194 3.194 0.000 3.194 3.194 3.194 0.000" Properties=species:S:1:pos:R:3 pbc="T T T"
Al 0.000 0.000 0.000
Os 3.194 3.194 3.194
Cl 1.597 1.597 1.597
Cl 4.791 4.791 4.791
```

Calculated values
D(E_F)   0.70 states/eV/atom
Space group   No. 225
Crystal system   cubic


Model two:
Here is a relaxed AlOsCl2 crystal from Alexandria. Energies are from GGA-PBE.

```
4
Lattice="2.925 -1.493 0.000 2.925 1.493 0.000 -2.619 0.000 9.094" Properties=species:S:1:pos:R:3 pbc="T T T"
Al 0.000 0.000 0.000
Os 1.484 0.000 7.315
Cl -1.489 0.000 5.472
Cl 2.561 0.000 1.740
```

Calculated values
D(E_F)   0.22 states/eV/atom
Space group   No. 8
Crystal system   monoclinic


Model three:
Here is a relaxed AlOsCl2 crystal from Alexandria. Energies are from GGA-PBE.

```
4
Lattice="-1.496 2.142 7.153 1.496 -2.142 7.153 1.496 2.142 -7.153" Properties=species:S:1:pos:R:3 pbc="T T T"
Al 0.000 0.000 0.000
Os 0.000 0.000 7.153
Cl 1.496 0.000 5.158
Cl 0.000 2.142 1.995
```

Calculated values
D(E_F)   0.46 states/eV/atom
Space group   No. 71
Crystal system   orthorhombic


List of relative energies, unit meV per atom: model one 1329; model two 0; model three 337